(1)
VASP calculation (PBE) on an optimized crystal structure of ErLu2In3CuNi2.

Cell and atoms, written as CIF:
```
data_ErLu2In3CuNi2
_cell_length_a 3.792
_cell_length_b 12.788
_cell_length_c 7.383
_cell_angle_alpha 90.00
_cell_angle_beta 90.00
_cell_angle_gamma 90.00
_symmetry_space_group_name_H-M 'A m m 2'
_symmetry_Int_Tables_number 38
loop_
_symmetry_equiv_pos_as_xyz
'x,y,z'
'-x,-y,z'
'-x,y,z'
'x,-y,z'
'x,y+1/2,z+1/2'
'-x,-y+1/2,z+1/2'
'-x,y+1/2,z+1/2'
'x,-y+1/2,z+1/2'
loop_
_atom_site_label
_atom_site_type_symbol
_atom_site_fract_x
_atom_site_fract_y
_atom_site_fract_z
Er1 Er 0.000 0.000 0.000
Lu1 Lu 0.000 0.206 0.619
In1 In 0.500 0.000 0.671
In2 In 0.500 0.129 0.283
Cu1 Cu 0.000 0.000 0.413
Ni1 Ni 0.500 0.167 0.913
```

Output
The electronic total energy is -4.549 eV/atom.

***

(2)
VASP calculation (PBE) on an optimized crystal structure of TlTcGe.

Cell and atoms, written as CIF:
```
data_TlTcGe
_cell_length_a 6.291
_cell_length_b 6.291
_cell_length_c 6.291
_cell_angle_alpha 90.00
_cell_angle_beta 90.00
_cell_angle_gamma 90.00
_symmetry_space_group_name_H-M 'F -4 3 m'
_symmetry_Int_Tables_number 216
_symmetry_space_group_name_Hall 'F -4 2 3'
loop_
_atom_site_label
_atom_site_type_symbol
_atom_site_fract_x
_atom_site_fract_y
_atom_site_fract_z
Tl1 Tl 0.000 0.000 0.000
Tc1 Tc 0.250 0.250 0.750
Ge1 Ge 0.000 0.000 0.500
```

Output
The value obtained for the relative energy among the computed polymorphs is 0 meV/atom.